[1]
ThBi2Rh9 after structural relaxation. Source: Alexandria, functional GGA-PBE.

Cell lengths 4.081, 4.081, 12.172 Å; angles 90.00, 90.00, 90.00 degrees
Element x y z (fractional)
Th1 0.000 0.000 0.000
Bi1 0.000 0.000 0.338
Bi2 0.000 0.000 0.662
Rh1 0.500 0.500 0.000
Rh2 0.500 0.500 0.334
Rh3 0.500 0.500 0.666
Rh4 0.500 0.000 0.173
Rh5 0.500 0.000 0.500
Rh6 0.500 0.000 0.827
Rh7 0.000 0.500 0.173
Rh8 0.000 0.500 0.500
Rh9 0.000 0.500 0.827

Values from the calculation:
Volume   202.7 Å³ per cell
SG   No. 123
VASP energy   -7.02 eV per atom
Calculated formation energy   -23.21 kJ/mol of atoms

=====

[2]
Th4BiRh after structural relaxation. Source: Alexandria, functional GGA-PBE.

Cell lengths 6.046, 8.579, 8.420 Å; angles 112.93, 100.89, 109.50 degrees
Element x y z (fractional)
Th1 0.052 0.200 0.839
Th2 0.776 0.712 0.619
Th3 0.287 0.639 0.839
Th4 0.343 0.907 0.619
Th5 0.657 0.093 0.381
Th6 0.713 0.361 0.161
Th7 0.224 0.288 0.381
Th8 0.948 0.800 0.161
Bi1 0.365 0.615 0.230
Bi2 0.635 0.385 0.770
Rh1 0.263 0.013 0.027
Rh2 0.737 0.987 0.973

Values from the calculation:
Volume   352.6 Å³ per cell
SG   No. 15
VASP energy   -7.20 eV per atom
Calculated formation energy   -37.07 kJ/mol of atoms

=====

[3]
Th4BiRh15 after structural relaxation. Source: Alexandria, functional GGA-PBE.

Cell lengths 4.118, 4.118, 20.553 Å; angles 90.00, 90.00, 90.00 degrees
Element x y z (fractional)
Th1 0.000 0.000 0.198
Th2 0.000 0.000 0.399
Th3 0.000 0.000 0.601
Th4 0.000 0.000 0.802
Bi1 0.000 0.000 0.000
Rh1 0.500 0.500 0.000
Rh2 0.500 0.500 0.196
Rh3 0.500 0.500 0.399
Rh4 0.500 0.500 0.601
Rh5 0.500 0.500 0.804
Rh6 0.500 0.000 0.095
Rh7 0.500 0.000 0.298
Rh8 0.500 0.000 0.500
Rh9 0.500 0.000 0.702
Rh10 0.500 0.000 0.905
Rh11 0.000 0.500 0.095
Rh12 0.000 0.500 0.298
Rh13 0.000 0.500 0.500
Rh14 0.000 0.500 0.702
Rh15 0.000 0.500 0.905

Values from the calculation:
Volume   348.5 Å³ per cell
SG   No. 123
VASP energy   -7.76 eV per atom
Calculated formation energy   -55.18 kJ/mol of atoms

=====

[4]
Th6BiRh after structural relaxation. Source: Alexandria, functional GGA-PBE.

Cell lengths 6.574, 6.574, 6.573 Å; angles 102.65, 102.65, 102.64 degrees
Element x y z (fractional)
Th1 0.201 0.201 0.604
Th2 0.603 0.201 0.201
Th3 0.799 0.799 0.396
Th4 0.799 0.397 0.799
Th5 0.397 0.799 0.799
Th6 0.201 0.603 0.201
Bi1 0.000 0.000 0.000
Rh1 0.500 0.500 0.500

Values from the calculation:
Volume   259.6 Å³ per cell
SG   No. 166
VASP energy   -7.06 eV per atom
Calculated formation energy   -8.68 kJ/mol of atoms

=====

[5]
Th2BiRh3 after structural relaxation. Source: Alexandria, functional GGA-PBE.

Cell lengths 9.408, 9.408, 9.408 Å; angles 60.00, 60.00, 60.00 degrees
Site moments in Bohr magnetons follow the coordinates.
Element x y z (fractional)
Th1 0.268 0.268 0.268  0.06
Th2 0.268 0.696 0.268  0.06
Th3 0.696 0.268 0.268  0.06
Th4 0.268 0.268 0.696  0.06
Th5 0.732 0.304 0.732  0.06
Th6 0.732 0.732 0.732  0.06
Th7 0.304 0.732 0.732  0.06
Th8 0.732 0.732 0.304  0.06
Bi1 0.000 0.000 0.000  0.00
Bi2 0.000 0.500 0.000  0.00
Bi3 0.500 0.000 0.000  0.00
Bi4 0.000 0.000 0.500  0.00
Rh1 0.373 0.373 0.877  0.01
Rh2 0.877 0.877 0.373  0.01
Rh3 0.877 0.373 0.373  0.01
Rh4 0.373 0.877 0.877  0.01
Rh5 0.373 0.877 0.373  0.01
Rh6 0.877 0.373 0.877  0.01
Rh7 0.627 0.123 0.123  0.01
Rh8 0.123 0.627 0.627  0.01
Rh9 0.123 0.123 0.627  0.01
Rh10 0.627 0.627 0.123  0.01
Rh11 0.627 0.123 0.627  0.01
Rh12 0.123 0.627 0.123  0.01

Values from the calculation:
Volume   588.9 Å³ per cell
SG   No. 227
VASP energy   -7.25 eV per atom
Calculated formation energy   -44.23 kJ/mol of atoms

=====

[6]
Th3BiRh after structural relaxation. Source: Alexandria, functional GGA-PBE.

Cell lengths 5.233, 7.847, 8.484 Å; angles 117.55, 90.00, 90.00 degrees
Element x y z (fractional)
Th1 0.500 0.311 0.000
Th2 0.000 0.879 0.758
Th3 0.500 0.689 0.000
Th4 0.500 0.500 0.500
Th5 0.000 0.121 0.242
Th6 0.500 0.000 0.500
Bi1 0.000 0.643 0.287
Bi2 0.000 0.357 0.713
Rh1 0.500 0.101 0.202
Rh2 0.500 0.899 0.798

Values from the calculation:
Volume   308.9 Å³ per cell
SG   No. 65
VASP energy   -7.10 eV per atom
Polymorph energy (0 for the lowest one)   0.891 eV per formula unit
Calculated formation energy   -38.78 kJ/mol of atoms

=====

[7]
Th4Bi2Rh after structural relaxation. Source: Alexandria, functional GGA-PBE.

Cell lengths 7.032, 6.636, 9.760 Å; angles 90.00, 109.83, 90.00 degrees
Element x y z (fractional)
Th1 0.497 0.482 0.241
Th2 0.068 0.750 0.871
Th3 0.932 0.250 0.129
Th4 0.497 0.018 0.241
Th5 0.874 0.250 0.568
Th6 0.503 0.982 0.759
Th7 0.503 0.518 0.759
Th8 0.126 0.750 0.432
Bi1 0.749 0.750 0.074
Bi2 0.251 0.250 0.926
Bi3 0.274 0.250 0.456
Bi4 0.726 0.750 0.544
Rh1 0.169 0.750 0.168
Rh2 0.831 0.250 0.832

Values from the calculation:
Volume   428.4 Å³ per cell
SG   No. 11
VASP energy   -6.86 eV per atom
Calculated formation energy   -44.14 kJ/mol of atoms

=====

[8]
Th5Bi2Rh after structural relaxation. Source: Alexandria, functional GGA-PBE.

Cell lengths 7.753, 7.753, 6.807 Å; angles 124.71, 124.71, 90.02 degrees
Element x y z (fractional)
Th1 0.747 0.246 0.994
Th2 0.246 0.246 0.992
Th3 0.746 0.746 0.993
Th4 0.246 0.747 0.994
Th5 0.706 0.706 0.413
Bi1 0.246 0.746 0.492
Bi2 0.746 0.246 0.492
Rh1 0.093 0.093 0.185

Values from the calculation:
Volume   242.5 Å³ per cell
SG   No. 42
VASP energy   -6.84 eV per atom
Polymorph energy (0 for the lowest one)   1.684 eV per formula unit
Calculated formation energy   -30.43 kJ/mol of atoms

=====

[9]
ThBiRh after structural relaxation. Source: Alexandria, functional GGA-PBE.

Cell lengths 3.552, 3.552, 6.535 Å; angles 105.77, 105.77, 90.00 degrees
Element x y z (fractional)
Rh1 0.270 0.270 0.539
Bi1 0.931 0.931 0.863
Th1 0.649 0.649 0.298

Values from the calculation:
Volume   76.1 Å³ per cell
SG   No. 107
VASP energy   -6.70 eV per atom
Calculated formation energy   -46.88 kJ/mol of atoms

=====

[10]
ThBi2Rh2 after structural relaxation. Source: Alexandria, functional GGA-PBE.

Cell lengths 4.372, 5.240, 11.305 Å; angles 106.70, 90.00, 90.00 degrees
Element x y z (fractional)
Th1 0.750 0.231 0.639
Th2 0.250 0.769 0.361
Bi1 0.750 0.238 0.966
Bi2 0.250 0.776 0.707
Bi3 0.250 0.762 0.034
Bi4 0.750 0.224 0.293
Rh1 0.250 0.323 0.460
Rh2 0.750 0.655 0.186
Rh3 0.250 0.345 0.814
Rh4 0.750 0.677 0.540

Values from the calculation:
Volume   248.1 Å³ per cell
SG   No. 11
VASP energy   -6.52 eV per atom
Calculated formation energy   -52.48 kJ/mol of atoms

=====

[11]
Th5Bi3Rh after structural relaxation. Source: Alexandria, functional GGA-PBE.

Cell lengths 6.603, 9.672, 9.672 Å; angles 120.00, 90.00, 90.00 degrees
Element x y z (fractional)
Th1 0.000 0.333 0.667
Th2 0.500 0.667 0.333
Th3 0.000 0.667 0.333
Th4 0.500 0.333 0.667
Th5 0.750 0.753 0.000
Th6 0.750 0.247 0.247
Th7 0.750 0.000 0.753
Th8 0.250 0.247 0.000
Th9 0.250 0.753 0.753
Th10 0.250 0.000 0.247
Bi1 0.750 0.393 0.000
Bi2 0.750 0.607 0.607
Bi3 0.750 0.000 0.393
Bi4 0.250 0.607 0.000
Bi5 0.250 0.393 0.393
Bi6 0.250 0.000 0.607
Rh1 0.000 0.000 0.000
Rh2 0.500 0.000 0.000

Values from the calculation:
Volume   535.0 Å³ per cell
SG   No. 193
VASP energy   -6.88 eV per atom
Calculated formation energy   -62.54 kJ/mol of atoms

=====

[12]
ThBi2Rh after structural relaxation. Source: Alexandria, functional GGA-PBE.

Cell lengths 3.501, 3.501, 10.701 Å; angles 80.59, 80.59, 60.00 degrees
Element x y z (fractional)
Rh1 0.500 0.500 0.500
Bi1 0.105 0.105 0.684
Bi2 0.895 0.895 0.316
Th1 0.000 0.000 0.000

Values from the calculation:
Volume   111.5 Å³ per cell
SG   No. 166
VASP energy   -5.59 eV per atom
Calculated formation energy   3.94 kJ/mol of atoms

=====

[13]
ThBiRh after structural relaxation. Source: Alexandria, functional GGA-PBE.

Cell lengths 4.164, 4.599, 4.599 Å; angles 120.00, 90.00, 90.00 degrees
Element x y z (fractional)
Rh1 0.265 0.667 0.333
Bi1 0.111 0.000 0.000
Th1 0.624 0.333 0.667

Values from the calculation:
Volume   76.3 Å³ per cell
SG   No. 156
VASP energy   -6.87 eV per atom
Calculated formation energy   -62.55 kJ/mol of atoms

=====

[14]
TiBiRh3 after structural relaxation. Source: Alexandria, functional GGA-PBE.

Cell lengths 4.623, 4.623, 4.623 Å; angles 90.00, 90.00, 90.00 degrees
Element x y z (fractional)
Rh1 0.000 0.500 0.000
Rh2 0.000 0.000 0.500
Rh3 0.500 0.000 0.000
Bi1 0.500 0.500 0.500
Ti1 0.000 0.000 0.000

Values from the calculation:
Volume   98.8 Å³ per cell
SG   No. 221
VASP energy   -6.43 eV per atom
Polymorph energy (0 for the lowest one)   0.000 eV per formula unit
Calculated formation energy   32.54 kJ/mol of atoms

=====

[15]
TiBiRh2 after structural relaxation. Source: Alexandria, functional GGA-PBE.

Cell lengths 4.207, 4.207, 9.175 Å; angles 76.75, 76.75, 90.00 degrees
Element x y z (fractional)
Rh1 0.597 0.125 0.250
Rh2 0.153 0.625 0.250
Rh3 0.375 0.403 0.750
Rh4 0.875 0.847 0.750
Bi1 0.000 0.000 0.000
Bi2 0.750 0.250 0.500
Ti1 0.500 0.500 0.000
Ti2 0.250 0.750 0.500

Values from the calculation:
Volume   153.6 Å³ per cell
SG   No. 122
VASP energy   -6.60 eV per atom
Calculated formation energy   1.85 kJ/mol of atoms

=====

[16]
TiBi2Rh after structural relaxation. Source: Alexandria, functional GGA-PBE.

Cell lengths 3.288, 3.288, 9.974 Å; angles 80.51, 80.51, 60.00 degrees
Element x y z (fractional)
Rh1 0.000 0.000 0.000
Bi1 0.089 0.089 0.732
Bi2 0.911 0.911 0.268
Ti1 0.500 0.500 0.500

Values from the calculation:
Volume   91.7 Å³ per cell
SG   No. 166
VASP energy   -5.44 eV per atom
Calculated formation energy   30.04 kJ/mol of atoms

=====

[17]
Ti4Bi2Rh after structural relaxation. Source: Alexandria, functional GGA-PBE.

Cell lengths 4.655, 4.655, 8.070 Å; angles 73.24, 73.24, 90.00 degrees
Element x y z (fractional)
Rh1 0.000 0.000 0.000
Bi1 0.640 0.640 0.719
Bi2 0.360 0.360 0.281
Ti1 0.835 0.835 0.329
Ti2 0.165 0.165 0.671
Ti3 0.000 0.500 0.000
Ti4 0.500 0.000 0.000

Values from the calculation:
Volume   159.7 Å³ per cell
SG   No. 139
VASP energy   -6.58 eV per atom
Calculated formation energy   8.40 kJ/mol of atoms

=====

[18]
Ti2BiRh after structural relaxation. Source: Alexandria, functional GGA-PBE.

Cell lengths 7.375, 7.375, 5.971 Å; angles 51.87, 51.87, 90.00 degrees
Element x y z (fractional)
Rh1 0.500 0.500 0.000
Rh2 0.250 0.750 0.500
Bi1 0.000 0.000 0.000
Bi2 0.750 0.250 0.500
Ti1 0.575 0.125 0.250
Ti2 0.175 0.625 0.250
Ti3 0.375 0.425 0.750
Ti4 0.875 0.825 0.750

Values from the calculation:
Volume   158.2 Å³ per cell
SG   No. 122
VASP energy   -6.85 eV per atom
Calculated formation energy   -8.71 kJ/mol of atoms

=====

[19]
Ti3BiRh after structural relaxation. Source: Alexandria, functional GGA-PBE.

Cell lengths 4.758, 4.758, 4.758 Å; angles 90.00, 90.00, 90.00 degrees
Element x y z (fractional)
Rh1 0.000 0.000 0.000
Bi1 0.500 0.500 0.500
Ti1 0.000 0.500 0.000
Ti2 0.000 0.000 0.500
Ti3 0.500 0.000 0.000

Values from the calculation:
Volume   107.7 Å³ per cell
SG   No. 221
VASP energy   -6.89 eV per atom
Polymorph energy (0 for the lowest one)   0.000 eV per formula unit
Calculated formation energy   8.72 kJ/mol of atoms

=====

[20]
TiBi2Rh after structural relaxation. Source: Alexandria, functional GGA-PBE.

Cell lengths 4.542, 4.542, 9.774 Å; angles 76.56, 76.56, 90.00 degrees
Element x y z (fractional)
Rh1 0.000 0.000 0.000
Rh2 0.750 0.250 0.500
Bi1 0.633 0.125 0.250
Bi2 0.117 0.625 0.250
Bi3 0.375 0.367 0.750
Bi4 0.875 0.883 0.750
Ti1 0.500 0.500 0.000
Ti2 0.250 0.750 0.500

Values from the calculation:
Volume   190.4 Å³ per cell
SG   No. 122
VASP energy   -5.54 eV per atom
Calculated formation energy   20.87 kJ/mol of atoms

=====

[21]
Ti8Bi2Rh after structural relaxation. Source: Alexandria, functional GGA-PBE.

Cell lengths 4.762, 5.409, 8.098 Å; angles 94.12, 107.10, 90.00 degrees
Element x y z (fractional)
Ti1 0.417 0.441 0.835
Ti2 0.654 0.120 0.307
Ti3 0.767 0.658 0.534
Ti4 0.043 0.272 0.086
Ti5 0.233 0.342 0.466
Ti6 0.346 0.880 0.693
Ti7 0.583 0.559 0.165
Ti8 0.957 0.728 0.914
Bi1 0.845 0.194 0.690
Bi2 0.155 0.806 0.310
Rh1 0.500 0.000 0.000

Values from the calculation:
Volume   198.8 Å³ per cell
SG   No. 12
VASP energy   -7.30 eV per atom
Calculated formation energy   -18.09 kJ/mol of atoms

=====

[22]
TiBiRh2 after structural relaxation. Source: Alexandria, functional GGA-PBE.

Cell lengths 3.169, 3.169, 7.089 Å; angles 90.00, 90.00, 90.00 degrees
Element x y z (fractional)
Rh1 0.000 0.000 0.799
Rh2 0.000 0.000 0.201
Bi1 0.500 0.500 0.500
Ti1 0.500 0.500 0.000

Values from the calculation:
Volume   71.2 Å³ per cell
SG   No. 123
VASP energy   -7.06 eV per atom
Calculated formation energy   -42.58 kJ/mol of atoms

=====

[23]
TiBi2Rh after structural relaxation. Source: Alexandria, functional GGA-PBE.

Cell lengths 4.937, 4.937, 4.937 Å; angles 60.00, 60.00, 60.00 degrees
Site moments in Bohr magnetons follow the coordinates.
Element x y z (fractional)
Rh1 0.500 0.500 0.500  0.04
Bi1 0.250 0.250 0.250  0.02
Bi2 0.750 0.750 0.750  0.02
Ti1 0.000 0.000 0.000  1.13

Values from the calculation:
Volume   85.1 Å³ per cell
SG   No. 225
VASP energy   -5.70 eV per atom
Calculated formation energy   5.10 kJ/mol of atoms